Record 1
3
Lattice="-0.1493 -1.3767 5.2560 -1.9773 -4.8399 1.4865 3.3486 -3.8363 1.9007" Properties=species:S:1:pos:R:3 comment="SrTlSb | Alexandria via LeMat-Bulk | PBE-GGA | relaxed" e_tot_ev_per_fu=-9.33 e_form_raw_ev_per_atom=-0.3858 pbc="T T T"
Sb 0.6110 -5.0265 4.3216
Sr 0.9165 -7.5397 6.4825
Tl 0.0000 0.0000 0.0000



Record 2
10
Lattice="8.2452 0.0000 0.0000 0.0000 8.2452 0.0000 0.0000 0.0000 5.0138" Properties=species:S:1:pos:R:3 comment="Sr2Tl2Sb | Alexandria via LeMat-Bulk | PBE-GGA | relaxed" e_tot_ev_per_fu=-14.40 dos_ef_per_ev_cell=6.87 e_form_raw_ev_per_atom=-0.4362 pbc="T T T"
Sr 2.6925 1.4301 2.5069
Sr 1.4301 5.5527 2.5069
Sr 5.5527 6.8151 2.5069
Sr 6.8151 2.6925 2.5069
Tl 1.0837 3.0389 0.0000
Tl 3.0389 7.1615 0.0000
Tl 7.1615 5.2063 0.0000
Tl 5.2063 1.0837 0.0000
Sb 0.0000 0.0000 0.0000
Sb 4.1226 4.1226 0.0000



Record 3
16
Lattice="-8.1887 2.1001 -1.7512 -0.2254 -6.0286 -6.1755 1.6219 -3.5491 9.4400" Properties=species:S:1:pos:R:3 comment="Sr5Tl2Sb | Alexandria via LeMat-Bulk | PBE-GGA | relaxed" e_tot_ev_per_fu=-21.41 dos_ef_per_ev_cell=16.74 e_form_raw_ev_per_atom=-0.5185 pbc="T T T"
Sr -4.4957 -2.1663 4.3113
Sr 0.0000 0.0000 0.0000
Sr -0.3646 -2.2325 6.1948
Sr -3.2721 -5.5233 1.5094
Sr -7.6513 -1.8881 -1.8795
Sr -3.5202 -1.9543 0.0039
Sr -6.4277 -5.2452 -4.6815
Sr -2.2965 -5.3114 -2.7980
Sr 0.8591 -5.5895 3.3928
Sr -4.2071 -1.9643 -3.9634
Tl -7.2828 -1.9540 -5.4049
Tl -1.1313 -1.9746 -2.5218
Tl -3.2435 -4.4761 -6.0372
Tl -5.1706 0.5475 -1.8895
Sb -5.4997 -4.7210 -1.2250
Sb -1.2926 -2.7567 2.7383



Record 4
8
Lattice="-4.7125 -7.1863 -2.2075 -1.3509 -1.7534 8.5921 -5.8226 -2.6209 3.1309" Properties=species:S:1:pos:R:3 comment="SrTlSb2 | Alexandria via LeMat-Bulk | PBE-GGA | relaxed" e_tot_ev_per_fu=-13.44 dos_ef_per_ev_cell=6.27 e_form_raw_ev_per_atom=-0.2867 pbc="T T T"
Sb -9.7020 -9.8264 8.1232
Sb -2.7857 -2.4918 5.9253
Sb -4.6732 -5.5235 0.4287
Sb -6.6111 -5.2796 4.5540
Tl -6.7834 -7.1386 2.0579
Tl 0.0000 0.0000 0.0000
Sr -3.0317 -4.4699 3.1923
Sr -5.1026 -4.4221 7.4577



Record 5
5
Lattice="-3.3838 1.8048 4.4736 3.0077 -3.4830 3.6801 3.7715 4.3968 1.0789" Properties=species:S:1:pos:R:3 comment="SrTl3Sb | Alexandria via LeMat-Bulk | PBE-GGA | relaxed" e_tot_ev_per_fu=-12.09 dos_ef_per_ev_cell=3.34 e_form_raw_ev_per_atom=0.1621 pbc="T T T"
Tl 1.8858 2.1984 0.5395
Tl -1.6919 0.9024 2.2368
Tl 1.5038 -1.7415 1.8400
Sb 0.0000 0.0000 0.0000
Sr 1.6977 1.3593 4.6163



Record 6
6
Lattice="-3.1787 1.9636 3.1177 1.0730 -3.2939 3.4175 7.5906 3.8853 3.2367" Properties=species:S:1:pos:R:3 comment="SrTlSb | Alexandria via LeMat-Bulk | PBE-GGA | relaxed" e_tot_ev_per_fu=-9.90 dos_ef_per_ev_cell=1.75 e_form_raw_ev_per_atom=-0.5764 pbc="T T T"
Tl -0.5162 -0.3261 1.6020
Tl -1.5896 -1.0042 4.9332
Sb 0.2723 1.4608 4.1273
Sb 5.2126 1.0942 5.6446
Sr 2.7522 -0.8595 4.4541
Sr 2.7327 3.4145 5.3178



Record 7
10
Lattice="-4.3315 -6.0223 -4.4311 6.7505 -5.3517 0.6748 -1.8977 -1.8439 4.3611" Properties=species:S:1:pos:R:3 comment="Sr2Tl2Sb | Alexandria via LeMat-Bulk | PBE-GGA | relaxed" e_tot_ev_per_fu=-13.61 dos_ef_per_ev_cell=7.32 e_form_raw_ev_per_atom=-0.2778 pbc="T T T"
Tl -1.5382 -3.8377 0.6913
Tl -2.2492 -8.0022 -1.3788
Tl 2.7705 -5.2157 1.9836
Tl 2.0595 -9.3802 -0.0865
Sb 0.0000 0.0000 0.0000
Sb 1.2095 -5.6870 -1.8782
Sr 0.8752 -8.5873 -3.2499
Sr 1.5438 -2.7867 -0.5064
Sr 4.1850 -6.4831 -0.9200
Sr -1.7660 -4.8909 -2.8363



Record 8
5
Lattice="-5.3799 2.9891 1.2661 -0.4241 -3.0769 5.4621 3.2184 4.5912 2.8362" Properties=species:S:1:pos:R:3 comment="Sr3TlSb | Alexandria via LeMat-Bulk | PBE-GGA | relaxed" e_tot_ev_per_fu=-13.40 dos_ef_per_ev_cell=6.44 e_form_raw_ev_per_atom=-0.3727 pbc="T T T"
Tl -1.2928 2.2517 4.7822
Sr 1.6092 2.2956 1.4181
Sr -0.2120 -1.5384 2.7310
Sr -2.6899 1.4946 0.6330
Sb 0.0000 0.0000 0.0000



Copy entry 5 word for word.
5
Lattice="-3.3838 1.8048 4.4736 3.0077 -3.4830 3.6801 3.7715 4.3968 1.0789" Properties=species:S:1:pos:R:3 comment="SrTl3Sb | Alexandria via LeMat-Bulk | PBE-GGA | relaxed" e_tot_ev_per_fu=-12.09 dos_ef_per_ev_cell=3.34 e_form_raw_ev_per_atom=0.1621 pbc="T T T"
Tl 1.8858 2.1984 0.5395
Tl -1.6919 0.9024 2.2368
Tl 1.5038 -1.7415 1.8400
Sb 0.0000 0.0000 0.0000
Sr 1.6977 1.3593 4.6163



Please write out number 2 again, unchanged.
10
Lattice="8.2452 0.0000 0.0000 0.0000 8.2452 0.0000 0.0000 0.0000 5.0138" Properties=species:S:1:pos:R:3 comment="Sr2Tl2Sb | Alexandria via LeMat-Bulk | PBE-GGA | relaxed" e_tot_ev_per_fu=-14.40 dos_ef_per_ev_cell=6.87 e_form_raw_ev_per_atom=-0.4362 pbc="T T T"
Sr 2.6925 1.4301 2.5069
Sr 1.4301 5.5527 2.5069
Sr 5.5527 6.8151 2.5069
Sr 6.8151 2.6925 2.5069
Tl 1.0837 3.0389 0.0000
Tl 3.0389 7.1615 0.0000
Tl 7.1615 5.2063 0.0000
Tl 5.2063 1.0837 0.0000
Sb 0.0000 0.0000 0.0000
Sb 4.1226 4.1226 0.0000